# Nd6Pt2SeI3

Nd6Pt2SeI3 after structural relaxation (PBE-GGA, Alexandria via LeMat-Bulk).

Lattice parameters (Å, degrees): 7.556 7.556 8.203 98.84 98.84 119.81
Element x y z (fractional)
Nd 0.082 0.436 0.809
Nd 0.210 0.210 0.190
Nd 0.436 0.082 0.809
Nd 0.564 0.918 0.191
Nd 0.790 0.790 0.810
Nd 0.918 0.564 0.191
Pt 0.167 0.833 0.000
Pt 0.833 0.167 0.000
Se 0.500 0.500 0.000
I 0.000 0.000 0.500
I 0.339 0.661 0.500
I 0.661 0.339 0.500

Summary:
Space-group type = C2/m (12)
V = 32.23 A^3/atom
Formation energy (no corrections) = -14.332 eV per formula unit
Raw total energy = -63.16 eV/cell
Mass density = 7.364 g/cm³

---

# Nd6Si2PtI3

Nd6Si2PtI3 after structural relaxation (PBE-GGA, Alexandria via LeMat-Bulk).

Lattice parameters (Å, degrees): 10.139 10.139 9.326 106.45 106.45 24.26
Element x y z (fractional)
Nd 0.012 0.012 0.214
Nd 0.322 0.322 0.444
Nd 0.343 0.343 0.884
Nd 0.657 0.657 0.116
Nd 0.678 0.678 0.556
Nd 0.988 0.988 0.786
Si 0.167 0.167 0.336
Si 0.833 0.833 0.664
Pt 0.500 0.500 0.000
I 0.169 0.169 0.831
I 0.500 0.500 0.500
I 0.831 0.831 0.169

Summary:
Space-group type = C2/m (12)
V = 31.42 A^3/atom
Formation energy (no corrections) = -11.660 eV per formula unit
Raw total energy = -61.80 eV/cell
Mass density = 6.595 g/cm³

---

# Nd8Si3PtI4

Nd8Si3PtI4 after structural relaxation (PBE-GGA, Alexandria via LeMat-Bulk).

Lattice parameters (Å, degrees): 9.170 9.170 9.170 56.52 56.52 56.52
Element x y z (fractional)
Nd 0.233 0.233 0.233
Nd 0.235 0.731 0.731
Nd 0.269 0.269 0.765
Nd 0.269 0.765 0.269
Nd 0.731 0.235 0.731
Nd 0.731 0.731 0.235
Nd 0.765 0.269 0.269
Nd 0.767 0.767 0.767
Si 0.000 0.000 0.500
Si 0.000 0.500 0.000
Si 0.500 0.000 0.000
Pt 0.500 0.500 0.500
I 0.000 0.000 0.000
I 0.000 0.500 0.500
I 0.500 0.000 0.500
I 0.500 0.500 0.000

Summary:
Space-group type = R-3m (166)
V = 31.34 A^3/atom
Formation energy (no corrections) = -15.284 eV per formula unit
Raw total energy = -81.94 eV/cell
Mass density = 6.427 g/cm³

---

# Nd8SiPt3I4

Nd8SiPt3I4 after structural relaxation (PBE-GGA, Alexandria via LeMat-Bulk).

Lattice parameters (Å, degrees): 9.391 9.391 9.391 54.65 54.65 54.65
Element x y z (fractional)
Nd 0.225 0.733 0.733
Nd 0.229 0.229 0.229
Nd 0.267 0.267 0.775
Nd 0.267 0.775 0.267
Nd 0.733 0.225 0.733
Nd 0.733 0.733 0.225
Nd 0.771 0.771 0.771
Nd 0.775 0.267 0.267
Si 0.500 0.500 0.500
Pt 0.000 0.000 0.500
Pt 0.000 0.500 0.000
Pt 0.500 0.000 0.000
I 0.000 0.000 0.000
I 0.000 0.500 0.500
I 0.500 0.000 0.500
I 0.500 0.500 0.000

Summary:
Space-group type = R-3m (166)
V = 32.05 A^3/atom
Formation energy (no corrections) = -16.491 eV per formula unit
Raw total energy = -84.38 eV/cell
Mass density = 7.367 g/cm³

---

# NdYPtI

NdYPtI after structural relaxation (PBE-GGA, Alexandria via LeMat-Bulk).

Lattice parameters (Å, degrees): 8.400 8.400 8.400 29.00 29.00 29.00
Element x y z (fractional)
Nd 0.000 0.000 0.000
Y 0.210 0.210 0.210
Pt 0.602 0.602 0.602
I 0.775 0.775 0.775

Summary:
Space-group type = R3m (160)
V = 30.81 A^3/atom
Formation energy (no corrections) = -4.402 eV per formula unit
Raw total energy = -23.23 eV/cell
Mass density = 7.480 g/cm³

---

# NdPu3I8

NdPu3I8 after structural relaxation (PBE-GGA, Alexandria via LeMat-Bulk).

Lattice parameters (Å, degrees): 8.660 8.660 9.391 117.77 117.77 60.00
Element x y z (fractional)
Nd 0.000 0.000 0.000
Pu 0.000 0.500 0.000
Pu 0.500 0.000 0.000
Pu 0.500 0.500 0.000
I 0.250 0.749 0.751
I 0.251 0.251 0.249
I 0.251 0.251 0.755
I 0.251 0.750 0.249
I 0.749 0.250 0.751
I 0.749 0.749 0.245
I 0.749 0.749 0.751
I 0.750 0.251 0.249

Summary:
Space-group type = C2/m (12)
V = 42.85 A^3/atom
Formation energy (no corrections) = -13.469 eV per formula unit
Raw total energy = -73.63 eV/cell
Mass density = 6.108 g/cm³